Version a
## Na2Tl2Pd (GGA-PBE)

Data for a relaxed structure of Na2Tl2Pd.

Properties
calculated volume: 27.103 Å³ per atom
ρ: 6.876 g/cm³
symmetry: I4_1/amd (141)

Cell: 12.7824 12.7824 12.7824 Å, 158.88 158.88 30.04°
Sites, in units of the cell vectors:
Na (0.0516, 0.3016, 0.7500)
Na (0.3016, 0.0516, 0.2500)
Na (0.6984, 0.9484, 0.7500)
Na (0.9484, 0.6984, 0.2500)
Tl (0.1888, 0.4388, 0.7500)
Tl (0.4388, 0.1888, 0.2500)
Tl (0.5612, 0.8112, 0.7500)
Tl (0.8112, 0.5612, 0.2500)
Pd (0.3750, 0.6250, 0.7500)
Pd (0.6250, 0.3750, 0.2500)



Version b
## Na2Tl2Pd (GGA-PBE)

Data for a relaxed structure of Na2Tl2Pd.

Properties
calculated volume: 27.074 Å³ per atom
ρ: 6.884 g/cm³
symmetry: P4/mbm (127)

Cell: 7.2435 7.2435 5.1601 Å, 90.00 90.00 90.00°
Sites, in units of the cell vectors:
Na (0.1727, 0.3273, 0.0000)
Na (0.3273, 0.8273, 0.0000)
Na (0.6727, 0.1727, 0.0000)
Na (0.8273, 0.6727, 0.0000)
Tl (0.1507, 0.6507, 0.5000)
Tl (0.3493, 0.1507, 0.5000)
Tl (0.6507, 0.8493, 0.5000)
Tl (0.8493, 0.3493, 0.5000)
Pd (0.0000, 0.0000, 0.5000)
Pd (0.5000, 0.5000, 0.5000)



Version c
## Na2Tl2Pd (GGA-PBE)

Data for a relaxed structure of Na2Tl2Pd.

Properties
calculated volume: 25.294 Å³ per atom
ρ: 7.368 g/cm³
symmetry: P4/mbm (127)

Cell: 7.1670 7.1670 4.9243 Å, 90.00 90.00 90.00°
Sites, in units of the cell vectors:
Na (0.1413, 0.3587, 0.0000)
Na (0.3587, 0.8587, 0.0000)
Na (0.6413, 0.1413, 0.0000)
Na (0.8587, 0.6413, 0.0000)
Tl (0.1792, 0.6792, 0.5000)
Tl (0.3208, 0.1792, 0.5000)
Tl (0.6792, 0.8208, 0.5000)
Tl (0.8208, 0.3208, 0.5000)
Pd (0.0000, 0.0000, 0.0000)
Pd (0.5000, 0.5000, 0.0000)



The structure with the least stability is version c.